HPbN2 (GGA-PBE, optimized geometry); raw total energy = -0.366 Ry per atom; N(E_F) = 0.162 states/eV/atom; crystal system = trigonal; SG = No. 166
1.0
1.772 1.023 4.742
-1.772 1.023 4.742
0.000 -2.046 4.742
H Pb N
1 1 2
direct
0.000 0.000 0.000 H
0.500 0.500 0.500 Pb
0.089 0.089 0.089 N
0.911 0.911 0.911 N